1.
The following is a DFT calculation (SCAN) of Ni2H2Os at its PBEsol-relaxed geometry.

Calculated values
**M_tot**: 0.00 μB per formula unit
**E_tot**: -110.4 eV/cell
**Theoretical density**: 12.84 g/cm³

Cell lengths 2.629, 2.629, 6.083 Å; angles 102.48, 102.48, 90.00 degrees
Element x y z (fractional)
Ni 0.342 0.342 0.685
Ni 0.658 0.658 0.315
Os 0.000 0.000 0.000
H 0.250 0.750 0.500
H 0.750 0.250 0.500

---

2.
The following is a DFT calculation (SCAN) of BaGa2Sn2 at its PBEsol-relaxed geometry.

Calculated values
**M_tot**: 0.00 μB per formula unit
**Theoretical density**: 6.35 g/cm³
**Formation enthalpy at 0 K**: -430 meV per atom

Cell lengths 5.062, 5.062, 6.349 Å; angles 113.50, 113.50, 90.00 degrees
Element x y z (fractional)
Ba 0.000 0.000 0.000
Ga 0.250 0.750 0.500
Ga 0.750 0.250 0.500
Sn 0.362 0.362 0.725
Sn 0.638 0.638 0.275

---

3.
The following is a DFT calculation (SCAN) of Sr2YCu2Bi2O8 at its PBEsol-relaxed geometry.

Calculated values
**M_tot**: 0.00 μB per formula unit
**Uncorrected formation energy**: -29.63 eV/f.u.
**Theoretical density**: 7.28 g/cm³

Cell lengths 5.267, 5.412, 15.246 Å; angles 79.78, 90.00, 90.00 degrees
Element x y z (fractional)
Sr 0.500 0.112 0.274
Sr 0.500 0.888 0.726
Sr 0.000 0.614 0.274
Sr 0.000 0.386 0.726
Y 0.500 0.000 0.500
Y 0.000 0.500 0.500
Cu 0.500 0.552 0.397
Cu 0.500 0.448 0.603
Cu 0.000 0.051 0.397
Cu 0.000 0.949 0.603
Bi 0.500 0.689 0.093
Bi 0.500 0.311 0.907
Bi 0.000 0.217 0.093
Bi 0.000 0.783 0.907
O 0.500 0.650 0.234
O 0.500 0.350 0.766
O 0.000 0.116 0.234
O 0.000 0.884 0.766
O 0.250 0.701 0.598
O 0.750 0.299 0.402
O 0.250 0.299 0.402
O 0.750 0.701 0.598
O 0.500 0.285 0.099
O 0.500 0.715 0.901
O 0.000 0.616 0.099
O 0.000 0.384 0.901
O 0.250 0.798 0.404
O 0.750 0.202 0.596
O 0.250 0.202 0.596
O 0.750 0.798 0.404

---

4.
The following is a DFT calculation (SCAN) of Cr2CoTc at its PBEsol-relaxed geometry.

Calculated values
**M_tot**: 2.21 μB per formula unit
**Theoretical density**: 9.25 g/cm³
**Formation enthalpy at 0 K**: 145 meV per atom

Cell lengths 2.461, 4.023, 4.794 Å; angles 90.00, 99.38, 90.00 degrees
Element x y z (fractional)
Co 0.000 0.500 0.500
Cr 0.703 0.000 0.735
Cr 0.297 0.000 0.265
Tc 0.500 0.500 0.000

---

5.
The following is a DFT calculation (SCAN) of AsPbAu at its PBEsol-relaxed geometry.

Calculated values
**M_tot**: 0.00 μB per formula unit
**Energy above the lowest structure with this stoichiometry**: 0.261 eV per atom
**Theoretical density**: 10.92 g/cm³
**Formation enthalpy at 0 K**: 158 meV per atom

Cell lengths 4.687, 4.687, 4.687 Å; angles 60.00, 60.00, 60.00 degrees
Element x y z (fractional)
Pb 0.500 0.500 0.500
As 0.250 0.250 0.250
Au 0.000 0.000 0.000

---

6.
The following is a DFT calculation (SCAN) of BeTc2Se at its PBEsol-relaxed geometry.

Calculated values
**M_tot**: 0.00 μB per formula unit
**Energy above the lowest structure with this stoichiometry**: 0.000 eV per atom
**Uncorrected formation energy**: 0.22 eV/f.u.
**Theoretical density**: 9.14 g/cm³

Cell lengths 2.982, 4.315, 4.450 Å; angles 106.08, 109.57, 90.00 degrees
Element x y z (fractional)
Be 0.497 0.450 0.995
Tc 0.998 0.969 0.997
Tc 0.760 0.320 0.520
Se 0.244 0.761 0.488

---

7.
The following is a DFT calculation (SCAN) of ZrTc2P at its PBEsol-relaxed geometry.

Calculated values
**M_tot**: 0.00 μB per formula unit
**Theoretical density**: 8.79 g/cm³
**Formation enthalpy at 0 K**: -316 meV per atom

Cell lengths 2.990, 3.977, 5.054 Å; angles 90.00, 90.00, 90.00 degrees
Element x y z (fractional)
P 0.500 0.500 0.760
Tc 0.000 0.000 0.005
Tc 0.500 0.500 0.224
Zr 0.000 0.000 0.511

---

8.
The following is a DFT calculation (SCAN) of TcAsIO2 at its PBEsol-relaxed geometry.

Calculated values
**M_tot**: 3.44 μB per formula unit
**Uncorrected formation energy**: 1.77 eV/f.u.
**Theoretical density**: 6.28 g/cm³

Cell lengths 3.797, 3.797, 6.080 Å; angles 90.00, 90.00, 90.00 degrees
Element x y z (fractional)
I 0.000 0.000 0.500
As 0.000 0.000 0.000
Tc 0.500 0.500 0.500
O 0.000 0.500 0.000
O 0.500 0.000 0.000